# 1
PBE HfMgBePd, optimized geometry; offset from the most stable computed form = 229.0 meV per atom; uncorrected energy = -5.175 eV/atom; space group = F-43m (216)
1.0
1.6604 -0.2238 4.1079
2.0086 3.5344 1.7763
-1.9470 2.2302 3.3041
Hf Mg Pd Be
1 1 1 1
Direct
0.0000 0.0000 0.0000
0.7500 0.7500 0.7500
0.5000 0.5000 0.5000
0.2500 0.2500 0.2500


# 2
PBE HfMgBePd, optimized geometry; offset from the most stable computed form = 140.8 meV per atom; uncorrected energy = -5.263 eV/atom; space group = F-43m (216)
1.0
3.3868 -2.1407 1.9631
1.7148 1.5595 3.8125
-0.6709 -2.2109 3.8170
Be Pd Hf Mg
1 1 1 1
Direct
0.7500 0.7500 0.7500
0.5000 0.5000 0.5000
0.2500 0.2500 0.2500
0.0000 0.0000 0.0000


# 3
PBE HfMgBePt, optimized geometry; offset from the most stable computed form = 91.3 meV per atom; uncorrected energy = -5.743 eV/atom; space group = F-43m (216)
1.0
0.0000 3.1498 3.1498
3.1498 0.0000 3.1498
3.1498 3.1498 0.0000
Mg Be Hf Pt
1 1 1 1
Direct
0.7500 0.7500 0.7500
0.5000 0.5000 0.5000
0.0000 0.0000 0.0000
0.2500 0.2500 0.2500


# 4
PBE HfMgBePt, optimized geometry; offset from the most stable computed form = 260.4 meV per atom; uncorrected energy = -5.574 eV/atom; space group = F-43m (216)
1.0
-1.5025 -3.2599 2.5811
-2.1771 0.9565 3.7272
-4.3441 -0.7719 0.2828
Hf Be Pt Mg
1 1 1 1
Direct
0.0000 0.0000 0.0000
0.7500 0.7500 0.7500
0.5000 0.5000 0.5000
0.2500 0.2500 0.2500


# 5
PBE HfMgBePt, optimized geometry; offset from the most stable computed form = 0.0 meV per atom; uncorrected energy = -5.834 eV/atom; space group = F-43m (216)
1.0
0.0000 3.1783 3.1783
3.1783 0.0000 3.1783
3.1783 3.1783 0.0000
Pt Mg Be Hf
1 1 1 1
Direct
0.2500 0.2500 0.2500
0.0000 0.0000 0.0000
0.7500 0.7500 0.7500
0.5000 0.5000 0.5000


# 6
PBE HfBeMo, optimized geometry; offset from the most stable computed form = 1054.6 meV per atom; uncorrected energy = -6.836 eV/atom; space group = F-43m (216)
1.0
0.0000 3.0624 3.0624
3.0624 0.0000 3.0624
3.0624 3.0624 0.0000
Mo Hf Be
1 1 1
Direct
0.7500 0.7500 0.7500
0.0000 0.0000 0.0000
0.2500 0.2500 0.2500


# 7
PBE HfBeMo, optimized geometry; offset from the most stable computed form = 0.0 meV per atom; uncorrected energy = -7.891 eV/atom; space group = F-43m (216)
1.0
-1.1012 1.2056 3.7621
-2.0018 3.5423 0.5143
-3.9554 -0.0185 1.0835
Mo Be Hf
1 1 1
Direct
0.7500 0.7500 0.7500
0.0000 0.0000 0.0000
0.2500 0.2500 0.2500


# 8
PBE HfBe2Mo, optimized geometry; uncorrected energy = -6.616 eV/atom; space group = F-43m (216)
1.0
0.0000 3.0563 3.0563
3.0563 0.0000 3.0563
3.0563 3.0563 0.0000
Mo Be Hf
1 2 1
Direct
0.7500 0.7500 0.7500
0.0000 0.0000 0.0000
0.2500 0.2500 0.2500
0.5000 0.5000 0.5000


# 9
PBE Hf2BeMo, optimized geometry; uncorrected energy = -8.339 eV/atom; space group = F-43m (216)
1.0
-3.0889 2.9582 1.6134
-0.6601 3.9972 -2.1171
-3.8715 0.7501 -2.3117
Hf Be Mo
2 1 1
Direct
0.7500 0.7500 0.7500
0.0000 0.0000 0.0000
0.5000 0.5000 0.5000
0.2500 0.2500 0.2500


# 10
PBE HfBeTeMo, optimized geometry; offset from the most stable computed form = 94.2 meV per atom; uncorrected energy = -6.554 eV/atom; space group = F-43m (216)
1.0
-4.3537 0.8680 1.1725
-2.5439 2.8402 -2.5582
-3.4390 -1.6633 -2.5475
Mo Be Hf Te
1 1 1 1
Direct
0.2500 0.2500 0.2500
0.7500 0.7500 0.7500
0.0000 0.0000 0.0000
0.5000 0.5000 0.5000


# 11
PBE HfBeTeMo, optimized geometry; offset from the most stable computed form = 0.0 meV per atom; uncorrected energy = -6.649 eV/atom; space group = F-43m (216)
1.0
3.4721 -1.6661 -2.5035
2.8192 -3.1517 1.7936
-0.1358 -4.3329 -1.5186
Be Te Mo Hf
1 1 1 1
Direct
0.7500 0.7500 0.7500
0.2500 0.2500 0.2500
0.0000 0.0000 0.0000
0.5000 0.5000 0.5000


# 12
PBE HfBeTeMo, optimized geometry; offset from the most stable computed form = 270.1 meV per atom; uncorrected energy = -6.379 eV/atom; space group = F-43m (216)
1.0
-3.5155 -2.7122 -1.3145
-3.6999 -0.4862 2.7418
-4.0493 1.8866 -1.2193
Hf Te Be Mo
1 1 1 1
Direct
0.2500 0.2500 0.2500
0.5000 0.5000 0.5000
0.7500 0.7500 0.7500
0.0000 0.0000 0.0000